Entry 1:
VASP calculation (PBE-GGA) on a geometry-optimized ScNi2Cl structure. Values from VASP.

Structure (Quantum ESPRESSO input):
```
&SYSTEM
  ibrav = 0, nat = 4, ntyp = 3
/
ATOMIC_SPECIES
Cl 35.45 Cl.upf
Ni 58.69 Ni.upf
Sc 44.96 Sc.upf
ATOMIC_POSITIONS crystal
Cl 0.500 0.500 0.667
Ni 0.000 0.000 0.139
Ni 0.500 0.500 0.235
Sc 0.000 0.000 0.459
CELL_PARAMETERS angstrom
-1.181 2.695 -1.276
-2.907 -1.349 -0.159
-1.538 2.519 6.742
```

## Properties
Distance to the lowest polymorph of the same formula, eV per atom: 0.0556
Energy, eV/cell: -21.5


Entry 2:
VASP calculation (PBE-GGA) on a geometry-optimized ScNiCl2 structure. Values from VASP.

Structure (Quantum ESPRESSO input):
```
&SYSTEM
  ibrav = 0, nat = 4, ntyp = 3
/
ATOMIC_SPECIES
Sc 44.96 Sc.upf
Ni 58.69 Ni.upf
Cl 35.45 Cl.upf
ATOMIC_POSITIONS crystal
Sc 0.500 0.500 0.701
Ni 0.000 0.000 0.523
Cl 0.000 0.000 0.907
Cl 0.500 0.500 0.369
CELL_PARAMETERS angstrom
3.316 0.000 0.000
0.000 3.316 0.000
0.000 0.000 7.562
```

## Properties
Distance to the lowest polymorph of the same formula, eV per atom: 0.1326
Energy, eV/cell: -19.2


Entry 3:
VASP calculation (PBE-GGA) on a geometry-optimized Sc2NiCl structure. Values from VASP.

Structure (Quantum ESPRESSO input):
```
&SYSTEM
  ibrav = 0, nat = 4, ntyp = 3
/
ATOMIC_SPECIES
Cl 35.45 Cl.upf
Ni 58.69 Ni.upf
Sc 44.96 Sc.upf
ATOMIC_POSITIONS crystal
Cl 0.488 0.488 0.625
Ni 0.259 0.259 0.125
Sc 0.010 0.010 0.125
Sc 0.744 0.744 0.625
CELL_PARAMETERS angstrom
5.484 -0.001 0.121
4.499 3.136 0.121
-0.091 -0.029 4.127
```

## Properties
Distance to the lowest polymorph of the same formula, eV per atom: 0.2370
Energy, eV/cell: -22.7


Entry 4:
VASP calculation (PBE-GGA) on a geometry-optimized ScNiCl2 structure. Values from VASP.

Structure (Quantum ESPRESSO input):
```
&SYSTEM
  ibrav = 0, nat = 4, ntyp = 3
/
ATOMIC_SPECIES
Sc 44.96 Sc.upf
Ni 58.69 Ni.upf
Cl 35.45 Cl.upf
ATOMIC_POSITIONS crystal
Sc 0.230 0.730 0.500
Ni 0.359 0.359 0.000
Cl 0.090 0.090 0.000
Cl 0.821 0.321 0.500
CELL_PARAMETERS angstrom
-1.114 5.548 4.600
-2.950 0.556 6.646
4.744 -2.771 -4.796
```

## Properties
Distance to the lowest polymorph of the same formula, eV per atom: 0.2395
Energy, eV/cell: -18.8


Entry 5:
VASP calculation (PBE-GGA) on a geometry-optimized ScNi2Cl structure. Values from VASP.

Structure (Quantum ESPRESSO input):
```
&SYSTEM
  ibrav = 0, nat = 4, ntyp = 3
/
ATOMIC_SPECIES
Cl 35.45 Cl.upf
Ni 58.69 Ni.upf
Sc 44.96 Sc.upf
ATOMIC_POSITIONS crystal
Cl 0.500 0.981 0.678
Ni 0.000 0.741 0.130
Ni 0.500 0.194 0.230
Sc 0.000 0.584 0.462
CELL_PARAMETERS angstrom
-0.148 -3.059 0.951
3.177 0.004 0.506
0.453 2.126 6.906
```

## Properties
Distance to the lowest polymorph of the same formula, eV per atom: 0.0538
Energy, eV/cell: -21.5


Entry 6:
VASP calculation (PBE-GGA) on a geometry-optimized ScNiCl2 structure. Values from VASP.

Structure (Quantum ESPRESSO input):
```
&SYSTEM
  ibrav = 0, nat = 4, ntyp = 3
/
ATOMIC_SPECIES
Sc 44.96 Sc.upf
Ni 58.69 Ni.upf
Cl 35.45 Cl.upf
ATOMIC_POSITIONS crystal
Sc 0.500 0.500 0.750
Ni 0.500 0.500 0.250
Cl 0.000 0.000 0.990
Cl 0.000 0.000 0.510
CELL_PARAMETERS angstrom
3.213 0.000 0.000
0.000 3.212 0.000
0.000 0.000 6.226
```

## Properties
Distance to the lowest polymorph of the same formula, eV per atom: 0.4856
Energy, eV/cell: -17.8


Entry 7:
VASP calculation (PBE-GGA) on a geometry-optimized ScNiCl2 structure. Values from VASP.

Structure (Quantum ESPRESSO input):
```
&SYSTEM
  ibrav = 0, nat = 4, ntyp = 3
/
ATOMIC_SPECIES
Sc 44.96 Sc.upf
Ni 58.69 Ni.upf
Cl 35.45 Cl.upf
ATOMIC_POSITIONS crystal
Sc 0.750 0.750 0.750
Ni 0.250 0.250 0.250
Cl 0.028 0.028 0.028
Cl 0.472 0.472 0.472
CELL_PARAMETERS angstrom
-1.506 6.043 -8.061
-1.552 3.090 -9.582
-4.318 4.277 -8.176
```

## Properties
Distance to the lowest polymorph of the same formula, eV per atom: 0.3927
Energy, eV/cell: -18.1


Entry 8:
VASP calculation (PBE-GGA) on a geometry-optimized Sc2NiCl structure. Values from VASP.

Structure (Quantum ESPRESSO input):
```
&SYSTEM
  ibrav = 0, nat = 4, ntyp = 3
/
ATOMIC_SPECIES
Cl 35.45 Cl.upf
Ni 58.69 Ni.upf
Sc 44.96 Sc.upf
ATOMIC_POSITIONS crystal
Cl 0.500 0.000 0.500
Ni 0.000 0.500 0.500
Sc 0.000 0.000 0.000
Sc 0.500 0.500 0.000
CELL_PARAMETERS angstrom
-0.687 2.942 -3.730
-4.168 -2.299 -0.620
-1.362 1.981 1.813
```

## Properties
Distance to the lowest polymorph of the same formula, eV per atom: 0.3201
Energy, eV/cell: -22.4


Entry 9:
VASP calculation (PBE-GGA) on a geometry-optimized Sc2NiCl structure. Values from VASP.

Structure (Quantum ESPRESSO input):
```
&SYSTEM
  ibrav = 0, nat = 4, ntyp = 3
/
ATOMIC_SPECIES
Cl 35.45 Cl.upf
Ni 58.69 Ni.upf
Sc 44.96 Sc.upf
ATOMIC_POSITIONS crystal
Cl 0.750 0.750 0.750
Ni 0.250 0.250 0.250
Sc 0.987 0.987 0.041
Sc 0.513 0.513 0.459
CELL_PARAMETERS angstrom
-3.589 0.059 0.051
-1.861 -1.597 -2.622
-1.860 -6.435 2.782
```

## Properties
Distance to the lowest polymorph of the same formula, eV per atom: 0.0000
Energy, eV/cell: -23.6


Entry 10:
VASP calculation (PBE-GGA) on a geometry-optimized Sc3NiCl3 structure. Values from VASP.

Structure (Quantum ESPRESSO input):
```
&SYSTEM
  ibrav = 0, nat = 14, ntyp = 3
/
ATOMIC_SPECIES
Sc 44.96 Sc.upf
Ni 58.69 Ni.upf
Cl 35.45 Cl.upf
ATOMIC_POSITIONS crystal
Sc 0.949 0.298 0.152
Sc 0.600 0.949 0.152
Sc 0.298 0.600 0.152
Sc 0.702 0.400 0.848
Sc 0.400 0.051 0.848
Sc 0.051 0.702 0.848
Ni 0.667 0.667 0.000
Ni 0.333 0.333 0.000
Cl 0.218 0.895 0.316
Cl 0.571 0.218 0.316
Cl 0.895 0.571 0.316
Cl 0.105 0.429 0.684
Cl 0.429 0.782 0.684
Cl 0.782 0.105 0.684
CELL_PARAMETERS angstrom
5.890 0.000 1.893
2.641 5.265 1.893
-0.163 -0.101 10.619
```

## Properties
Energy, eV/cell: -79.0


Entry 11:
VASP calculation (PBE-GGA) on a geometry-optimized ScNi3Cl structure. Values from VASP.

Structure (Quantum ESPRESSO input):
```
&SYSTEM
  ibrav = 0, nat = 5, ntyp = 3
/
ATOMIC_SPECIES
Sc 44.96 Sc.upf
Ni 58.69 Ni.upf
Cl 35.45 Cl.upf
ATOMIC_POSITIONS crystal
Sc 0.500 0.500 0.500
Ni 0.000 0.500 0.000
Ni 0.000 0.000 0.500
Ni 0.500 0.000 0.000
Cl 0.000 0.000 0.000
CELL_PARAMETERS angstrom
4.232 0.000 0.000
0.000 4.232 0.000
0.000 0.000 4.232
```

## Properties
Distance to the lowest polymorph of the same formula, eV per atom: 0.0000
Energy, eV/cell: -24.0


Entry 12:
VASP calculation (PBE-GGA) on a geometry-optimized Sc2NiCl structure. Values from VASP.

Structure (Quantum ESPRESSO input):
```
&SYSTEM
  ibrav = 0, nat = 8, ntyp = 3
/
ATOMIC_SPECIES
Sc 44.96 Sc.upf
Ni 58.69 Ni.upf
Cl 35.45 Cl.upf
ATOMIC_POSITIONS crystal
Sc 0.643 0.125 0.250
Sc 0.107 0.625 0.250
Sc 0.375 0.357 0.750
Sc 0.875 0.893 0.750
Ni 0.000 0.000 0.000
Ni 0.750 0.250 0.500
Cl 0.500 0.500 0.000
Cl 0.250 0.750 0.500
CELL_PARAMETERS angstrom
-4.607 -4.396 1.844
2.926 -4.632 -3.732
1.299 -5.525 1.989
```

## Properties
Distance to the lowest polymorph of the same formula, eV per atom: 0.3426
Energy, eV/cell: -44.6


Entry 13:
VASP calculation (PBE-GGA) on a geometry-optimized Sc4NiCl structure. Values from VASP.

Structure (Quantum ESPRESSO input):
```
&SYSTEM
  ibrav = 0, nat = 6, ntyp = 3
/
ATOMIC_SPECIES
Sc 44.96 Sc.upf
Ni 58.69 Ni.upf
Cl 35.45 Cl.upf
ATOMIC_POSITIONS crystal
Sc 0.880 0.373 0.373
Sc 0.373 0.373 0.880
Sc 0.373 0.880 0.373
Sc 0.373 0.373 0.373
Ni 0.000 0.000 0.000
Cl 0.750 0.750 0.750
CELL_PARAMETERS angstrom
0.000 4.098 4.098
4.098 0.000 4.098
4.098 4.098 0.000
```

## Properties
Energy, eV/cell: -29.8


Entry 14:
VASP calculation (PBE-GGA) on a geometry-optimized ScNi2Cl structure. Values from VASP.

Structure (Quantum ESPRESSO input):
```
&SYSTEM
  ibrav = 0, nat = 4, ntyp = 3
/
ATOMIC_SPECIES
Cl 35.45 Cl.upf
Ni 58.69 Ni.upf
Sc 44.96 Sc.upf
ATOMIC_POSITIONS crystal
Cl 0.750 0.750 0.750
Ni 0.003 0.003 0.003
Ni 0.497 0.497 0.497
Sc 0.250 0.250 0.250
CELL_PARAMETERS angstrom
-6.029 4.430 -2.224
-7.056 1.569 -2.943
-7.343 2.644 -0.025
```

## Properties
Distance to the lowest polymorph of the same formula, eV per atom: 0.4912
Energy, eV/cell: -19.7


Entry 15:
VASP calculation (PBE-GGA) on a geometry-optimized ScNiCl2 structure. Values from VASP.

Structure (Quantum ESPRESSO input):
```
&SYSTEM
  ibrav = 0, nat = 4, ntyp = 3
/
ATOMIC_SPECIES
Sc 44.96 Sc.upf
Ni 58.69 Ni.upf
Cl 35.45 Cl.upf
ATOMIC_POSITIONS crystal
Sc 0.000 0.500 0.500
Ni 0.500 0.000 0.500
Cl 0.000 0.000 0.000
Cl 0.500 0.500 0.000
CELL_PARAMETERS angstrom
4.296 0.000 0.000
0.000 4.296 0.000
0.000 0.000 3.432
```

## Properties
Distance to the lowest polymorph of the same formula, eV per atom: 0.4512
Energy, eV/cell: -17.9


Entry 16:
VASP calculation (PBE-GGA) on a geometry-optimized ScNi2Cl structure. Values from VASP.

Structure (Quantum ESPRESSO input):
```
&SYSTEM
  ibrav = 0, nat = 4, ntyp = 3
/
ATOMIC_SPECIES
Sc 44.96 Sc.upf
Ni 58.69 Ni.upf
Cl 35.45 Cl.upf
ATOMIC_POSITIONS crystal
Sc 0.500 0.500 0.500
Ni 0.250 0.250 0.250
Ni 0.750 0.750 0.750
Cl 0.000 0.000 0.000
CELL_PARAMETERS angstrom
0.000 3.123 3.123
3.123 0.000 3.123
3.123 3.123 0.000
```

## Properties
Distance to the lowest polymorph of the same formula, eV per atom: 0.6378
Energy, eV/cell: -19.1


Entry 17:
VASP calculation (PBE-GGA) on a geometry-optimized ScNi2Cl structure. Values from VASP.

Structure (Quantum ESPRESSO input):
```
&SYSTEM
  ibrav = 0, nat = 4, ntyp = 3
/
ATOMIC_SPECIES
Cl 35.45 Cl.upf
Ni 58.69 Ni.upf
Sc 44.96 Sc.upf
ATOMIC_POSITIONS crystal
Cl 0.500 0.500 0.750
Ni 0.000 0.000 0.021
Ni 0.000 0.000 0.479
Sc 0.500 0.500 0.250
CELL_PARAMETERS angstrom
3.398 -0.016 0.000
0.016 3.398 0.000
0.000 0.000 5.285
```

## Properties
Distance to the lowest polymorph of the same formula, eV per atom: 0.1927
Energy, eV/cell: -20.9


Entry 18:
VASP calculation (PBE-GGA) on a geometry-optimized ScNiCl2 structure. Values from VASP.

Structure (Quantum ESPRESSO input):
```
&SYSTEM
  ibrav = 0, nat = 4, ntyp = 3
/
ATOMIC_SPECIES
Sc 44.96 Sc.upf
Ni 58.69 Ni.upf
Cl 35.45 Cl.upf
ATOMIC_POSITIONS crystal
Sc 0.000 0.000 0.000
Ni 0.500 0.500 0.500
Cl 0.250 0.250 0.250
Cl 0.750 0.750 0.750
CELL_PARAMETERS angstrom
-0.279 -2.687 3.611
-0.974 1.748 4.041
-4.007 -0.812 1.902
```

## Properties
Distance to the lowest polymorph of the same formula, eV per atom: 0.4775
Energy, eV/cell: -17.8


Entry 19:
VASP calculation (PBE-GGA) on a geometry-optimized Sc2NiCl structure. Values from VASP.

Structure (Quantum ESPRESSO input):
```
&SYSTEM
  ibrav = 0, nat = 4, ntyp = 3
/
ATOMIC_SPECIES
Cl 35.45 Cl.upf
Ni 58.69 Ni.upf
Sc 44.96 Sc.upf
ATOMIC_POSITIONS crystal
Cl 0.000 0.000 0.375
Ni 0.500 0.500 0.875
Sc 0.000 0.000 0.875
Sc 0.500 0.500 0.375
CELL_PARAMETERS angstrom
3.675 0.000 0.000
0.000 3.667 0.000
0.000 0.000 5.382
```

## Properties
Distance to the lowest polymorph of the same formula, eV per atom: 0.1269
Energy, eV/cell: -23.1


Entry 20:
VASP calculation (PBE-GGA) on a geometry-optimized Sc2NiCl structure. Values from VASP.

Structure (Quantum ESPRESSO input):
```
&SYSTEM
  ibrav = 0, nat = 4, ntyp = 3
/
ATOMIC_SPECIES
Cl 35.45 Cl.upf
Ni 58.69 Ni.upf
Sc 44.96 Sc.upf
ATOMIC_POSITIONS crystal
Cl 0.500 0.250 0.250
Ni 0.500 0.750 0.750
Sc 0.000 0.250 0.954
Sc 0.000 0.250 0.546
CELL_PARAMETERS angstrom
3.132 0.000 0.000
0.000 3.302 -0.007
0.000 0.014 7.478
```

## Properties
Distance to the lowest polymorph of the same formula, eV per atom: 0.0150
Energy, eV/cell: -23.6